A plane-wave DFT calculation with PBE was carried out for crystalline Tl12Hg7Pb at its relaxed geometry.

Cell: 8.7383 8.7383 8.7383 Å, 104.02 104.02 104.02°
With the nearest neighbours (Å) after each atom.
Positions (direct):
Tl1 0.7704 0.5330 0.2554  4 Hg 3.24-3.56, 6 Tl 3.41-3.58
Tl2 0.6844 0.9195 0.6434  5 Hg 3.40-3.73, 6 Tl 3.41-3.55, 1 Pb 3.41
Tl3 0.0805 0.3566 0.3156  5 Hg 3.40-3.73, 6 Tl 3.41-3.55, 1 Pb 3.41
Tl4 0.7446 0.2296 0.4670  4 Hg 3.24-3.56, 6 Tl 3.41-3.58
Hg1 0.0689 0.6761 0.1168  1 Hg 3.01, 2 Tl 3.24, 1 Pb 3.37
Tl5 0.2296 0.4670 0.7446  4 Hg 3.24-3.56, 6 Tl 3.41-3.58
Hg2 0.5000 0.5000 0.5000  12 Tl 3.40-3.56
Pb1 0.0000 0.0000 0.0000  6 Hg 3.37, 6 Tl 3.41
Tl6 0.2554 0.7704 0.5330  4 Hg 3.24-3.56, 6 Tl 3.41-3.58
Hg3 0.1168 0.0689 0.6761  1 Hg 3.01, 2 Tl 3.24, 1 Pb 3.37
Tl7 0.3156 0.0805 0.3566  5 Hg 3.40-3.73, 6 Tl 3.41-3.55, 1 Pb 3.41
Hg4 0.6761 0.1168 0.0689  1 Hg 3.01, 2 Tl 3.24, 1 Pb 3.37
Hg5 0.9311 0.3239 0.8832  1 Hg 3.01, 2 Tl 3.24, 1 Pb 3.37
Hg6 0.8832 0.9311 0.3239  1 Hg 3.01, 2 Tl 3.24, 1 Pb 3.37
Tl8 0.9195 0.6434 0.6844  5 Hg 3.40-3.73, 6 Tl 3.41-3.55, 1 Pb 3.41
Tl9 0.4670 0.7446 0.2296  4 Hg 3.24-3.56, 6 Tl 3.41-3.58
Tl10 0.3566 0.3156 0.0805  5 Hg 3.40-3.73, 6 Tl 3.41-3.55, 1 Pb 3.41
Hg7 0.3239 0.8832 0.9311  1 Hg 3.01, 2 Tl 3.24, 1 Pb 3.37
Tl11 0.5330 0.2554 0.7704  4 Hg 3.24-3.56, 6 Tl 3.41-3.58
Tl12 0.6434 0.6844 0.9195  5 Hg 3.40-3.73, 6 Tl 3.41-3.55, 1 Pb 3.41

Summary:
Energy of formation from the pure elements in eV per atom: 0.010
E above lowest polymorph in eV per formula unit: 0.000
Calculated total energy in eV per atom: -1.700